[1]
This record from Alexandria via LeMat-Bulk describes crystalline La3PI2 at its relaxed geometry. The functional is PBE-GGA.

CIF file:
```
data_La3PI2
_chemical_formula_sum 'La12 P4 I8'
_cell_length_a 8.273
_cell_length_b 13.089
_cell_length_c 7.426
_cell_angle_alpha 90.00
_cell_angle_beta 108.81
_cell_angle_gamma 90.00
_symmetry_space_group_name_H-M 'C 1 2/c 1'
_symmetry_Int_Tables_number 15
loop_
_symmetry_equiv_pos_as_xyz
'x,y,z'
'-x,-y,-z'
'-x,y,-z+1/2'
'x,-y,z+1/2'
'x+1/2,y+1/2,z'
'-x+1/2,-y+1/2,-z'
'-x+1/2,y+1/2,-z+1/2'
'x+1/2,-y+1/2,z+1/2'
loop_
_atom_site_label
_atom_site_fract_x
_atom_site_fract_y
_atom_site_fract_z
La1 0.190 0.073 0.484
La2 0.250 0.250 0.000
P1 0.000 0.097 0.750
I1 0.000 0.273 0.250
I2 0.000 0.428 0.750
```

Properties
- DOS at the Fermi energy: 4.04 states/eV/f.u.
- ρ: 6.12 g/cm³
- Uncorrected formation energy: -7.5 eV per formula unit
- VASP energy: -5.129 eV per atom
- Energy above the lowest structure with this stoichiometry: 0.012 eV/atom

[2]
This record from Alexandria via LeMat-Bulk describes crystalline La4P2I at its relaxed geometry. The functional is PBE-GGA.

CIF file:
```
data_La4P2I
_chemical_formula_sum 'La12 P6 I3'
_cell_length_a 4.2181
_cell_length_b 4.2181
_cell_length_c 44.8050
_cell_angle_alpha 90.00
_cell_angle_beta 90.00
_cell_angle_gamma 120.00
_symmetry_space_group_name_H-M 'R -3 m'
_symmetry_Int_Tables_number 166
_symmetry_space_group_name_Hall '-R 3 2"'
loop_
_atom_site_label
_atom_site_fract_x
_atom_site_fract_y
_atom_site_fract_z
La1 0.0000 0.0000 0.1250
La2 0.0000 0.0000 0.2788
P1 0.0000 0.0000 0.4224
I1 0.0000 0.0000 0.0000
```

Properties
- DOS at the Fermi energy: 4.82 states/eV/f.u.
- ρ: 5.37 g/cm³
- Uncorrected formation energy: -8.7 eV per formula unit
- VASP energy: -5.829 eV per atom

[3]
This record from Alexandria via LeMat-Bulk describes crystalline La2PI2 at its relaxed geometry. The functional is PBE-GGA.

CIF file:
```
data_La2PI2
_chemical_formula_sum 'La6 P3 I6'
_cell_length_a 4.3413
_cell_length_b 4.3413
_cell_length_c 34.9692
_cell_angle_alpha 90.00
_cell_angle_beta 90.00
_cell_angle_gamma 120.00
_symmetry_space_group_name_H-M 'R -3 m'
_symmetry_Int_Tables_number 166
_symmetry_space_group_name_Hall '-R 3 2"'
loop_
_atom_site_label
_atom_site_fract_x
_atom_site_fract_y
_atom_site_fract_z
La1 0.0000 0.0000 0.1207
P1 0.0000 0.0000 0.5000
I1 0.0000 0.0000 0.2737
```

Properties
- DOS at the Fermi energy: 1.66 states/eV/f.u.
- ρ: 4.91 g/cm³
- Uncorrected formation energy: -8.0 eV per formula unit
- VASP energy: -5.277 eV per atom

[4]
This record from Alexandria via LeMat-Bulk describes crystalline La5P4I at its relaxed geometry. The functional is PBE-GGA.

CIF file:
```
data_La5P4I
_chemical_formula_sum 'La10 P8 I2'
_cell_length_a 14.413
_cell_length_b 4.297
_cell_length_c 10.725
_cell_angle_alpha 90.00
_cell_angle_beta 120.01
_cell_angle_gamma 90.00
_symmetry_space_group_name_H-M 'C 1 2/m 1'
_symmetry_Int_Tables_number 12
loop_
_symmetry_equiv_pos_as_xyz
'x,y,z'
'-x,-y,-z'
'-x,y,-z'
'x,-y,z'
'x+1/2,y+1/2,z'
'-x+1/2,-y+1/2,-z'
'-x+1/2,y+1/2,-z'
'x+1/2,-y+1/2,z'
loop_
_atom_site_label
_atom_site_fract_x
_atom_site_fract_y
_atom_site_fract_z
La1 0.000 0.000 0.000
La2 0.113 0.500 0.381
La3 0.210 0.000 0.822
P1 0.095 0.500 0.894
P2 0.207 0.000 0.298
I1 0.000 0.000 0.500
```

Properties
- DOS at the Fermi energy: 3.89 states/eV/f.u.
- ρ: 5.46 g/cm³
- Uncorrected formation energy: -15.4 eV per formula unit
- VASP energy: -6.325 eV per atom

[5]
This record from Alexandria via LeMat-Bulk describes crystalline LaPI3 at its relaxed geometry. The functional is PBE-GGA.

CIF file:
```
data_LaPI3
_chemical_formula_sum 'La1 P1 I3'
_cell_length_a 6.318
_cell_length_b 6.318
_cell_length_c 6.318
_cell_angle_alpha 90.00
_cell_angle_beta 90.00
_cell_angle_gamma 90.00
_symmetry_space_group_name_H-M 'P m -3 m'
_symmetry_Int_Tables_number 221
_symmetry_space_group_name_Hall '-P 4 2 3'
loop_
_atom_site_label
_atom_site_fract_x
_atom_site_fract_y
_atom_site_fract_z
La1 0.000 0.000 0.000
P1 0.500 0.500 0.500
I1 0.000 0.000 0.500
```

Properties
- DOS at the Fermi energy: 0.00 states/eV/f.u.
- ρ: 3.63 g/cm³
- Uncorrected formation energy: -2.3 eV per formula unit
- VASP energy: -3.450 eV per atom

[6]
This record from Alexandria via LeMat-Bulk describes crystalline La4P2I3 at its relaxed geometry. The functional is PBE-GGA.

CIF file:
```
data_La4P2I3
_chemical_formula_sum 'La8 P4 I6'
_cell_length_a 7.493
_cell_length_b 4.326
_cell_length_c 19.372
_cell_angle_alpha 90.00
_cell_angle_beta 90.06
_cell_angle_gamma 90.00
_symmetry_space_group_name_H-M 'C 1 2/m 1'
_symmetry_Int_Tables_number 12
loop_
_symmetry_equiv_pos_as_xyz
'x,y,z'
'-x,-y,-z'
'-x,y,-z'
'x,-y,z'
'x+1/2,y+1/2,z'
'-x+1/2,-y+1/2,-z'
'-x+1/2,y+1/2,-z'
'x+1/2,-y+1/2,z'
loop_
_atom_site_label
_atom_site_fract_x
_atom_site_fract_y
_atom_site_fract_z
La1 0.001 0.000 0.283
La2 0.166 0.500 0.877
P1 0.167 0.500 0.201
I1 0.000 0.000 0.000
I2 0.166 0.500 0.606
```

Properties
- DOS at the Fermi energy: 3.65 states/eV/f.u.
- ρ: 5.28 g/cm³
- Uncorrected formation energy: -13.8 eV per formula unit
- VASP energy: -5.448 eV per atom

What is the DOS at the Fermi energy in the sixth record?
3.65 states/eV/f.u.

The highest VASP energy belongs to which entry?
LaPI3

Number 4 is which compound?
La5P4I